1.
Here is Tl2GaMoO6 after structural relaxation from Alexandria via LeMat-Bulk. Energies are from PBE+U.

Calculated values
Its total energy is -5.611 eV/atom. The value obtained for the density of states at the Fermi level is 8.455 states/eV per cell.

Structure (POSCAR):
```
Tl2GaMoO6
1.0
5.801 0.000 0.000
2.901 5.024 0.000
2.901 1.675 9.448
Tl Ga Mo O
4 2 2 12
direct
0.871 0.871 0.388
0.129 0.129 0.612
0.725 0.725 0.824
0.275 0.275 0.176
0.599 0.599 0.203
0.401 0.401 0.797
0.000 0.000 0.000
0.500 0.500 0.500
0.845 0.392 0.371
0.392 0.845 0.371
0.392 0.392 0.371
0.155 0.608 0.629
0.608 0.155 0.629
0.608 0.608 0.629
0.721 0.199 0.881
0.199 0.721 0.881
0.199 0.199 0.881
0.279 0.801 0.119
0.801 0.279 0.119
0.801 0.801 0.119
```

2.
Here is TlGaMoO6 after structural relaxation from Alexandria via LeMat-Bulk. Energies are from PBE+U.

Calculated values
Its total energy is -5.988 eV/atom.

Structure (POSCAR):
```
TlGaMoO6
1.0
-3.670 0.507 3.070
0.670 -4.507 1.546
6.031 3.190 6.683
Tl Ga Mo O
2 2 2 12
direct
0.500 0.500 0.506
0.000 0.000 0.006
0.500 0.500 0.833
0.000 0.000 0.333
0.500 0.500 0.174
0.000 0.000 0.674
0.175 0.825 0.503
0.825 0.175 0.503
0.325 0.325 0.003
0.675 0.675 0.003
0.213 0.787 0.186
0.787 0.213 0.186
0.287 0.287 0.686
0.713 0.713 0.686
0.792 0.208 0.805
0.208 0.792 0.805
0.708 0.708 0.305
0.292 0.292 0.305
```

3.
Here is UGaMoO6 after structural relaxation from Alexandria via LeMat-Bulk. Energies are from PBE+U.

Calculated values
Its total energy is -7.950 eV/atom.

Structure (POSCAR):
```
UGaMoO6
1.0
-4.724 -2.420 0.155
3.490 -1.231 -3.808
3.560 -6.607 5.398
U Ga Mo O
2 2 2 12
direct
0.667 0.333 0.250
0.333 0.667 0.750
0.333 0.667 0.250
0.667 0.333 0.750
0.000 0.000 0.000
0.000 0.000 0.500
0.654 0.665 0.132
0.011 0.346 0.132
0.346 0.011 0.632
0.989 0.654 0.868
0.335 0.346 0.368
0.011 0.665 0.368
0.665 0.011 0.868
0.654 0.989 0.368
0.989 0.335 0.632
0.335 0.989 0.132
0.665 0.654 0.632
0.346 0.335 0.868
```

4.
Here is V2GaMoO6 after structural relaxation from Alexandria via LeMat-Bulk. Energies are from PBE+U.

Calculated values
Its total energy is -7.280 eV/atom.

Structure (POSCAR):
```
V2GaMoO6
1.0
5.203 -0.039 0.001
2.572 4.506 0.038
2.589 1.527 4.703
V Ga Mo O
2 1 1 6
direct
0.513 0.516 0.454
0.010 0.017 0.952
0.311 0.316 0.066
0.817 0.817 0.549
0.600 0.237 0.245
0.235 0.919 0.241
0.924 0.606 0.240
0.405 0.712 0.754
0.720 0.121 0.758
0.126 0.399 0.756
```

5.
Here is VGa2MoO6 after structural relaxation from Alexandria via LeMat-Bulk. Energies are from PBE+U.

Calculated values
Its total energy is -6.837 eV/atom. The value obtained for the density of states at the Fermi level is 0.000 states/eV per cell.

Structure (POSCAR):
```
VGa2MoO6
1.0
-2.307 -4.354 -2.862
-2.996 -4.313 4.772
-6.874 1.492 -0.933
V Ga Mo O
2 4 2 12
direct
0.250 0.902 0.098
0.750 0.098 0.902
0.306 0.794 0.622
0.194 0.378 0.206
0.694 0.206 0.378
0.806 0.622 0.794
0.250 0.264 0.736
0.750 0.736 0.264
0.162 0.976 0.811
0.338 0.189 0.024
0.838 0.024 0.189
0.662 0.811 0.976
0.342 0.862 0.350
0.158 0.650 0.138
0.658 0.138 0.650
0.842 0.350 0.862
0.160 0.585 0.715
0.340 0.285 0.415
0.840 0.415 0.285
0.660 0.715 0.585
```

6.
Here is YGa2MoO8 after structural relaxation from Alexandria via LeMat-Bulk. Energies are from PBE+U.

Calculated values
Its total energy is -6.824 eV/atom. The value obtained for the density of states at the Fermi level is 3.457 states/eV per cell.

Structure (POSCAR):
```
YGa2MoO8
1.0
-2.335 3.619 1.939
-4.095 -1.899 -1.382
-0.379 -3.207 5.528
Y Ga Mo O
1 2 1 8
direct
0.000 0.000 0.500
0.500 0.500 0.758
0.500 0.500 0.242
0.000 0.000 0.000
0.200 0.799 0.215
0.701 0.701 0.000
0.800 0.201 0.215
0.800 0.201 0.785
0.299 0.299 0.000
0.200 0.799 0.785
0.672 0.673 0.500
0.328 0.327 0.500
```